Entry 1:
ZnAg2Se | PBE-GGA | optimized geometry

Summary:
ΔE_f (raw) = 44 meV per atom
volume = 73 Å³/cell
E = -10.3 eV for the cell shown

a b c (Å): 4.1197 4.1025 4.3367
angles (deg): 90.00 90.00 90.00
Last column: nearest neighbours and their distance in Å.
Sites, in units of the cell vectors:
Ag 0.0000 0.0000 0.0000  4 Ag 2.91, 4 Zn 2.98, 4 Se 2.99
Ag 0.5000 0.5000 0.0000  4 Ag 2.91, 4 Se 2.98, 4 Zn 2.99
Se 0.5000 0.0000 0.5000  4 Zn 2.91, 8 Ag 2.98-2.99
Zn 0.0000 0.5000 0.5000  4 Se 2.91, 8 Ag 2.98-2.99

---

Entry 2:
ZnAgSe | PBE-GGA | optimized geometry

Summary:
ΔE_f (raw) = 56 meV per atom
volume = 58 Å³/cell
E = -7.4 eV for the cell shown

a b c (Å): 4.8767 4.8767 4.8767
angles (deg): 134.61 134.64 66.11
Last column: nearest neighbours and their distance in Å.
Sites, in units of the cell vectors:
Ag 0.9980 0.9980 0.0000  1 Zn 2.68, 5 Se 2.73-2.99
Se 0.3322 0.3322 0.0000  5 Ag 2.73-2.99, 5 Zn 2.76-2.97
Zn 0.6698 0.6698 0.0000  1 Ag 2.68, 5 Se 2.76-2.97

---

Entry 3:
Zn2AgSe | PBE-GGA | optimized geometry

Summary:
ΔE_f (raw) = 121 meV per atom
volume = 73 Å³/cell
E = -8.4 eV for the cell shown

a b c (Å): 3.0569 3.0569 8.2345
angles (deg): 90.00 90.00 108.97
Last column: nearest neighbours and their distance in Å.
Sites, in units of the cell vectors:
Ag 0.5000 0.5000 0.2500  4 Zn 2.70
Se 0.5000 0.5000 0.7500  4 Zn 2.74, 4 Se 3.06
Zn 0.0000 0.0000 0.0038  2 Ag 2.70, 2 Se 2.74
Zn 0.0000 0.0000 0.4962  2 Ag 2.70, 2 Se 2.74

---

Entry 4:
Zn2AgSe | PBE-GGA | optimized geometry

Summary:
ΔE_f (raw) = 110 meV per atom
volume = 72 Å³/cell
E = -8.4 eV for the cell shown

a b c (Å): 4.2197 4.1400 4.1400
angles (deg): 90.00 90.00 90.00
Last column: nearest neighbours and their distance in Å.
Sites, in units of the cell vectors:
Ag 0.5000 0.5000 0.0000  4 Se 2.93, 8 Zn 2.96
Se 0.5000 0.0000 0.5000  4 Ag 2.93, 8 Zn 2.96
Zn 0.0000 0.0000 0.0000  4 Zn 2.93, 4 Se 2.96, 4 Ag 2.96
Zn 0.0000 0.5000 0.5000  4 Zn 2.93, 4 Se 2.96, 4 Ag 2.96